(1)
BaCaBi | PBE | optimized geometry

The space group is Cm (No. 8) and the conventional cell measures 13.351, 4.882 and 7.686 Å, with angles of 90.00, 90.88 and 90.00 degrees. The inequivalent atoms are Ba at (0.000, 0.000, 0.000), Ba at (0.210, 0.500, 0.749), Ca at (0.011, 0.000, 0.489), Ca at (0.297, 0.000, 0.303), Bi at (0.135, 0.500, 0.260) and Bi at (0.404, 0.000, 0.706).

The formation energy comes out at -200 kJ/mol of formula units. The offset from the most stable computed form is 150 meV/atom.

---

(2)
PrUGa2O8 | PBE | optimized geometry

The space group is P-1 (No. 2) and the conventional cell measures 4.789, 4.792 and 7.222 Å, with angles of 87.39, 87.43 and 87.17 degrees. The inequivalent atoms are Pr at (0.000, 0.000, 0.000), U at (0.000, 0.000, 0.500), Ga at (0.470, 0.470, 0.706), O at (0.200, 0.798, 0.718), O at (0.201, 0.800, 0.282), O at (0.313, 0.312, 0.490) and O at (0.345, 0.343, 0.945).

The formation energy from raw total energies is -2.334 eV/atom.

---

(3)
SiAgAs2 | PBE | optimized geometry

The space group is R3m (No. 160, hexagonal axes) and the conventional cell measures 3.1046, 3.1046 and 28.9409 Å, with angles of 90.00, 90.00 and 120.00 degrees. The inequivalent atoms are Si at (0.0000, 0.0000, 0.0000), Ag at (0.0000, 0.0000, 0.7373), As at (0.0000, 0.0000, 0.2714) and As at (0.0000, 0.0000, 0.4805).

The formation energy from raw total energies is 0.362 eV/atom.

---

(4)
PuMgHgRh | PBE | optimized geometry

The space group is F-43m (No. 216) and the conventional cell measures 6.966, 6.966 and 6.966 Å, with angles of 90.00, 90.00 and 90.00 degrees. The inequivalent atoms are Pu at (0.000, 0.000, 0.000), Mg at (0.000, 0.000, 0.500), Hg at (0.250, 0.250, 0.750) and Rh at (0.250, 0.250, 0.250).

The formation energy comes out at -71 kJ/mol of formula units. The offset from the most stable computed form is 161 meV/atom.

---

(5)
LiCd2TePt | PBE | optimized geometry

The space group is P4/mmm (No. 123) and the conventional cell measures 4.884, 4.884 and 4.453 Å, with angles of 90.00, 90.00 and 90.00 degrees. The inequivalent atoms are Li at (0.000, 0.000, 0.000), Cd at (0.000, 0.500, 0.000), Te at (0.500, 0.500, 0.500) and Pt at (0.000, 0.000, 0.500).

The formation energy from raw total energies is 0.260 eV/atom.

---

(6)
LiRhSN2 | PBE | optimized geometry

The space group is P4/mmm (No. 123) and the conventional cell measures 3.605, 3.605 and 4.297 Å, with angles of 90.00, 90.00 and 90.00 degrees. The inequivalent atoms are Li at (0.000, 0.000, 0.000), Rh at (0.500, 0.500, 0.500), S at (0.000, 0.000, 0.500) and N at (0.000, 0.500, 0.000).

The formation energy from raw total energies is 1.675 eV/atom. The offset from the most stable computed form is 1009 meV/atom.

---

(7)
La2HgHPd6 | PBE | optimized geometry

The space group is C2/m (No. 12) and the conventional cell measures 10.020, 5.792 and 7.359 Å, with angles of 90.00, 116.86 and 90.00 degrees. The inequivalent atoms are La at (0.238, 0.000, 0.212), Hg at (0.000, 0.500, 0.000), H at (0.000, 0.000, 0.500), Pd at (0.027, 0.249, 0.329) and Pd at (0.223, 0.000, 0.674).

As for the total energy: -5.06 eV per atom.

---

(8)
Al2PtSe | PBE | optimized geometry

The space group is R3m (No. 160, hexagonal axes) and the conventional cell measures 3.5356, 3.5356 and 21.6071 Å, with angles of 90.00, 90.00 and 120.00 degrees. The inequivalent atoms are Al at (0.0000, 0.0000, 0.0000), Al at (0.0000, 0.0000, 0.2302), Pt at (0.0000, 0.0000, 0.7290) and Se at (0.0000, 0.0000, 0.4981).

The formation energy from raw total energies is -0.302 eV/atom.